Entry from Alexandria via LeMat-Bulk: an optimized crystal structure of MgInCu2 (GGA-PBEsol).

Output
Its space-group type is Cm (8). The value obtained for the formation energy is -0.0289 eV/atom.

POSCAR file:
```
MgInCu2
1.0
4.8184 -1.6082 0.0000
4.8184 1.6082 0.0000
-1.7635 0.0000 4.0124
Mg In Cu
1 1 2
Cartesian
0.0000 0.0000 0.0000
0.9134 0.0000 2.7876
3.7086 0.0000 1.9155
6.9265 0.0000 0.9151
```